Entry 1:
Ac4Pt3Au (PBE, optimized geometry); distance to the lowest polymorph of the same formula = 0.0191 eV per atom; crystal system = cubic; DFT formation energy = -8.644 eV per formula unit; N(E_F) = 3.64 states/eV/cell
1.0
6.267 0.000 0.000
0.000 6.267 0.000
0.000 0.000 6.267
Ac Pt Au
4 3 1
Direct
0.500 0.000 0.000
0.000 0.500 0.000
0.000 0.000 0.500
0.500 0.500 0.500
0.000 0.500 0.500
0.500 0.000 0.500
0.500 0.500 0.000
0.000 0.000 0.000

=====

Entry 2:
Ac8Pt3Au2 (PBE, optimized geometry); crystal system = monoclinic; DFT formation energy = -9.968 eV per formula unit; N(E_F) = 11.88 states/eV/cell
1.0
-7.188 1.431 1.687
-2.268 -7.842 -3.009
4.561 0.486 7.873
Ac Pt Au
8 3 2
Direct
0.081 0.386 0.771
0.919 0.614 0.229
0.088 0.888 0.776
0.912 0.112 0.224
0.408 0.872 0.232
0.408 0.360 0.232
0.592 0.640 0.768
0.592 0.128 0.768
0.500 0.000 0.000
0.000 0.254 0.000
0.000 0.746 0.000
0.668 0.746 0.491
0.332 0.254 0.509

=====

Entry 3:
Ac3Pt2Au9 (PBE, optimized geometry); crystal system = orthorhombic; DFT formation energy = -8.935 eV per formula unit; N(E_F) = 5.12 states/eV/cell
1.0
4.482 0.000 1.251
1.555 8.066 3.085
-0.032 -0.210 8.772
Ac Pt Au
3 2 9
Direct
0.000 0.000 0.000
0.689 0.311 0.311
0.311 0.689 0.689
0.500 0.317 0.683
0.500 0.683 0.317
0.000 0.500 0.500
0.666 0.970 0.698
0.334 0.030 0.302
0.666 0.698 0.970
0.334 0.302 0.030
0.878 0.846 0.398
0.122 0.154 0.602
0.878 0.398 0.846
0.122 0.602 0.154

=====

Entry 4:
Ac4PtAu3 (PBE, optimized geometry); distance to the lowest polymorph of the same formula = 0.0000 eV per atom; crystal system = monoclinic; DFT formation energy = -7.096 eV per formula unit; N(E_F) = 7.89 states/eV/cell
1.0
7.773 0.052 0.000
-2.672 7.475 0.000
0.000 0.000 8.996
Ac Au Pt
8 6 2
Direct
0.990 0.242 0.633
0.501 0.235 0.881
0.490 0.242 0.367
0.001 0.235 0.119
0.999 0.765 0.881
0.510 0.758 0.633
0.499 0.765 0.119
0.010 0.758 0.367
0.750 0.000 0.376
0.250 0.000 0.624
0.750 0.500 0.623
0.750 0.500 0.126
0.250 0.500 0.377
0.250 0.500 0.874
0.750 0.000 0.875
0.250 0.000 0.125

=====

Entry 5:
Ac6PtAu2 (PBE, optimized geometry); crystal system = monoclinic; DFT formation energy = -5.540 eV per formula unit; N(E_F) = 20.31 states/eV/cell
1.0
7.322 0.000 0.015
0.000 8.051 0.000
-0.894 0.000 11.299
Ac Pt Au
12 2 4
Direct
0.844 0.956 0.244
0.833 0.676 0.572
0.824 0.695 0.931
0.676 0.195 0.569
0.667 0.176 0.928
0.656 0.456 0.256
0.156 0.044 0.756
0.167 0.324 0.428
0.176 0.305 0.069
0.324 0.805 0.431
0.333 0.824 0.072
0.344 0.544 0.744
0.500 0.500 0.000
0.000 0.000 0.500
0.940 0.389 0.774
0.560 0.889 0.726
0.440 0.111 0.274
0.060 0.611 0.226

=====

Entry 6:
Ac2Pt3Au (PBE, optimized geometry); distance to the lowest polymorph of the same formula = 0.0031 eV per atom; crystal system = orthorhombic; DFT formation energy = -5.778 eV per formula unit; N(E_F) = 7.32 states/eV/cell
1.0
-5.633 -0.939 -2.111
2.808 0.207 -5.398
2.644 -7.762 4.083
Ac Pt Au
4 6 2
Direct
0.250 0.750 0.500
0.750 0.750 0.000
0.750 0.250 0.500
0.250 0.250 0.000
0.324 0.837 0.161
0.163 0.676 0.839
0.676 0.163 0.839
0.837 0.324 0.161
0.169 0.169 0.337
0.831 0.831 0.663
0.666 0.666 0.331
0.334 0.334 0.669

=====

Entry 7:
AcPt2Au4 (PBE, optimized geometry); distance to the lowest polymorph of the same formula = 0.0000 eV per atom; crystal system = monoclinic; DFT formation energy = -3.270 eV per formula unit; N(E_F) = 2.04 states/eV/cell
1.0
4.898 -0.008 2.608
2.276 5.030 1.620
0.073 -0.371 5.741
Ac Pt Au
1 2 4
Direct
0.000 0.000 0.000
0.749 0.500 0.500
0.251 0.500 0.500
0.697 0.607 0.000
0.303 0.393 0.000
0.697 0.000 0.607
0.303 0.000 0.393

=====

Entry 8:
Ac4PtAu (PBE, optimized geometry); distance to the lowest polymorph of the same formula = 0.0000 eV per atom; crystal system = monoclinic; DFT formation energy = -3.702 eV per formula unit; N(E_F) = 14.27 states/eV/cell
1.0
-5.081 2.330 -5.134
-1.236 -7.408 1.661
-2.093 4.813 7.966
Ac Pt Au
8 2 2
Direct
0.289 0.023 0.592
0.051 0.811 0.105
0.196 0.431 0.408
0.446 0.706 0.895
0.711 0.977 0.408
0.804 0.569 0.592
0.949 0.189 0.895
0.554 0.294 0.105
0.824 0.074 0.148
0.176 0.926 0.852
0.333 0.583 0.167
0.667 0.417 0.833